Below is a relaxed structure of Pm4Nd3Ho5, with properties calculated at the PBE-GGA level.

Cell and atoms, written as POSCAR:
```
Pm4Nd3Ho5
1.0
8.071 -2.992 0.000
8.071 2.992 0.000
-4.134 0.000 8.416
Pm Nd Ho
4 3 5
Direct
0.084 0.084 0.445
0.210 0.210 0.881
0.790 0.790 0.119
0.916 0.916 0.555
0.210 0.210 0.233
0.500 0.500 0.000
0.790 0.790 0.767
0.000 0.000 0.000
0.328 0.328 0.613
0.428 0.428 0.303
0.572 0.572 0.697
0.672 0.672 0.387
```

## Properties
offset from the most stable computed form	204.2	meV/atom
DFT formation energy	0.220	eV per atom
SG	C2/m, No. 12